Below is crystalline Sm6Dy2Cd at its relaxed geometry, with properties calculated at the PBE level.

The spin magnetization comes out at 0.00 μB per cell. Its formation energy is -4 kJ/mol of atoms. As for the relative energy among the computed polymorphs: 0.0 meV/atom.

The structure belongs to space group P-1 (No. 2); the cell edges are 6.8025, 8.6469 and 10.1060 Å and the angles 82.87°, 89.01° and 80.28°. The inequivalent atoms are Sm at (0.0232, 0.3491, 0.2436), Sm at (0.1006, 0.0267, 0.8274), Sm at (0.3030, 0.6652, 0.0550), Sm at (0.3675, 0.3077, 0.6520), Sm at (0.3813, 0.0466, 0.1371), Sm at (0.4681, 0.6801, 0.6874), Dy at (0.1433, 0.6470, 0.4186), Dy at (0.2426, 0.0235, 0.4691) and Cd at (0.1962, 0.3486, 0.9420).